# 1
Here is crystalline AcMg2ZnIn2 at its relaxed geometry from Alexandria via LeMat-Bulk. Energies are from PBE-GGA.

Properties
Formation energy from the elements ... 0.121 eV per atom
Magnetic moment ... 0.0 Bohr magnetons per cell
VASP energy ... -2.22 eV per atom

Unit cell a=5.512 b=5.512 c=12.059 alpha=90.00 beta=90.00 gamma=90.00
Positions (direct):
Ac 0.000 0.000 0.000
Ac 0.500 0.500 0.500
Mg 0.000 0.500 0.250
Mg 0.000 0.500 0.750
Mg 0.500 0.000 0.250
Mg 0.500 0.000 0.750
Zn 0.000 0.000 0.500
Zn 0.500 0.500 0.000
In 0.000 0.000 0.291
In 0.000 0.000 0.709
In 0.500 0.500 0.209
In 0.500 0.500 0.791

---

# 2
Here is crystalline Ac2Mg4Zn3In at its relaxed geometry from Alexandria via LeMat-Bulk. Energies are from PBE-GGA.

Properties
Formation energy from the elements ... -0.193 eV per atom
Magnetic moment ... 0.0 Bohr magnetons per cell
VASP energy ... -2.31 eV per atom

Unit cell a=4.759 b=4.759 c=11.218 alpha=90.00 beta=90.00 gamma=90.00
Positions (direct):
Ac 0.000 0.500 0.248
Ac 0.500 0.000 0.752
Mg 0.000 0.000 0.500
Mg 0.000 0.500 0.863
Mg 0.500 0.000 0.137
Mg 0.500 0.500 0.500
Zn 0.000 0.000 0.000
Zn 0.000 0.500 0.628
Zn 0.500 0.000 0.372
In 0.500 0.500 0.000

---

# 3
Here is crystalline Ac2MgZn3In4 at its relaxed geometry from Alexandria via LeMat-Bulk. Energies are from PBE-GGA.

Properties
Formation energy from the elements ... -0.359 eV per atom
Magnetic moment ... 0.0 Bohr magnetons per cell
VASP energy ... -2.82 eV per atom

Unit cell a=4.655 b=4.655 c=11.659 alpha=90.00 beta=90.00 gamma=90.00
Positions (direct):
Ac 0.000 0.500 0.246
Ac 0.500 0.000 0.754
Mg 0.000 0.000 0.500
Zn 0.000 0.500 0.865
Zn 0.500 0.000 0.135
Zn 0.500 0.500 0.500
In 0.000 0.000 0.000
In 0.000 0.500 0.638
In 0.500 0.000 0.362
In 0.500 0.500 0.000

---

# 4
Here is crystalline Ac2Mg3Zn4In at its relaxed geometry from Alexandria via LeMat-Bulk. Energies are from PBE-GGA.

Properties
Formation energy from the elements ... -0.222 eV per atom
Magnetic moment ... 0.0 Bohr magnetons per cell
VASP energy ... -2.31 eV per atom

Unit cell a=4.717 b=4.717 c=10.979 alpha=90.00 beta=90.00 gamma=90.00
Positions (direct):
Ac 0.000 0.500 0.240
Ac 0.500 0.000 0.760
Mg 0.000 0.500 0.881
Mg 0.500 0.000 0.119
Mg 0.500 0.500 0.500
Zn 0.000 0.000 0.000
Zn 0.000 0.500 0.639
Zn 0.500 0.000 0.361
Zn 0.500 0.500 0.000
In 0.000 0.000 0.500

---

# 5
Here is crystalline Ac2Mg3ZnIn4 at its relaxed geometry from Alexandria via LeMat-Bulk. Energies are from PBE-GGA.

Properties
Formation energy from the elements ... -0.310 eV per atom
Magnetic moment ... 0.0 Bohr magnetons per cell
VASP energy ... -2.83 eV per atom

Unit cell a=4.748 b=4.748 c=11.961 alpha=90.00 beta=90.00 gamma=90.00
Positions (direct):
Ac 0.000 0.500 0.242
Ac 0.500 0.000 0.758
Mg 0.000 0.000 0.000
Mg 0.000 0.500 0.640
Mg 0.500 0.000 0.360
Zn 0.500 0.500 0.000
In 0.000 0.000 0.500
In 0.000 0.500 0.870
In 0.500 0.000 0.130
In 0.500 0.500 0.500

---

# 6
Here is crystalline Ac2Mg4ZnIn3 at its relaxed geometry from Alexandria via LeMat-Bulk. Energies are from PBE-GGA.

Properties
Formation energy from the elements ... -0.282 eV per atom
Magnetic moment ... 0.0 Bohr magnetons per cell
VASP energy ... -2.69 eV per atom

Unit cell a=4.781 b=4.781 c=11.899 alpha=90.00 beta=90.00 gamma=90.00
Positions (direct):
Ac 0.000 0.500 0.242
Ac 0.500 0.000 0.758
Mg 0.000 0.000 0.500
Mg 0.000 0.500 0.876
Mg 0.500 0.000 0.124
Mg 0.500 0.500 0.500
Zn 0.500 0.500 0.000
In 0.000 0.000 0.000
In 0.000 0.500 0.642
In 0.500 0.000 0.358